# 1
## Tb3Dy8Th2 (PBE)

Data for Tb3Dy8Th2 after structural relaxation.

Unit cell a=6.133 b=7.681 c=18.582 alpha=85.87 beta=80.88 gamma=77.32
Fractional positions:
Tb 0.000 0.000 0.000
Tb 0.000 0.000 0.500
Tb 0.333 0.685 0.226
Tb 0.430 0.242 0.292
Tb 0.570 0.758 0.708
Tb 0.667 0.315 0.774
Dy 0.000 0.019 0.322
Dy 0.000 0.981 0.678
Dy 0.112 0.556 0.076
Dy 0.113 0.532 0.739
Dy 0.232 0.095 0.815
Dy 0.335 0.660 0.888
Dy 0.365 0.646 0.562
Dy 0.446 0.218 0.963
Dy 0.448 0.182 0.614
Dy 0.552 0.818 0.386
Dy 0.554 0.782 0.037
Dy 0.635 0.354 0.438
Dy 0.665 0.340 0.112
Dy 0.768 0.905 0.185
Dy 0.887 0.468 0.261
Dy 0.888 0.444 0.924
Th 0.091 0.570 0.414
Th 0.221 0.120 0.146
Th 0.779 0.880 0.854
Th 0.909 0.430 0.586

The value obtained for the theoretical density is 8.83 g/cm3. The value obtained for the formation energy is 0.11 eV/atom.

# 2
## Tb2Dy9Th (PBE)

Data for Tb2Dy9Th after structural relaxation.

Unit cell a=5.021 b=5.021 c=15.038 alpha=90.00 beta=90.00 gamma=90.00
Fractional positions:
Tb 0.000 0.000 0.167
Tb 0.000 0.000 0.833
Dy 0.000 0.500 0.000
Dy 0.000 0.500 0.335
Dy 0.000 0.500 0.665
Dy 0.500 0.000 0.000
Dy 0.500 0.000 0.335
Dy 0.500 0.000 0.665
Dy 0.500 0.500 0.165
Dy 0.500 0.500 0.500
Dy 0.500 0.500 0.835
Th 0.000 0.000 0.500

The value obtained for the theoretical density is 8.81 g/cm3. The value obtained for the formation energy is 0.03 eV/atom.

# 3
## Tb4Dy3Th (PBE)

Data for Tb4Dy3Th after structural relaxation.

Unit cell a=11.401 b=7.241 c=6.255 alpha=90.00 beta=90.00 gamma=90.00
Fractional positions:
Tb 0.000 0.127 0.000
Tb 0.000 0.870 0.502
Tb 0.249 0.873 0.842
Tb 0.251 0.127 0.342
Tb 0.500 0.130 0.002
Tb 0.500 0.873 0.500
Tb 0.749 0.127 0.342
Tb 0.751 0.873 0.842
Dy 0.000 0.378 0.502
Dy 0.249 0.379 0.830
Dy 0.251 0.621 0.330
Dy 0.500 0.622 0.002
Dy 0.749 0.621 0.330
Dy 0.751 0.379 0.830
Th 0.000 0.623 0.004
Th 0.500 0.377 0.504

The value obtained for the theoretical density is 8.72 g/cm3. The value obtained for the formation energy is 0.03 eV/atom.

# 4
## Tb8Dy2Th (PBE)

Data for Tb8Dy2Th after structural relaxation.

Unit cell a=10.201 b=10.201 c=5.565 alpha=93.41 beta=93.41 gamma=39.24
Fractional positions:
Tb 0.048 0.048 0.233
Tb 0.107 0.631 0.271
Tb 0.315 0.315 0.774
Tb 0.369 0.893 0.729
Tb 0.631 0.107 0.271
Tb 0.685 0.685 0.226
Tb 0.893 0.369 0.729
Tb 0.952 0.952 0.767
Dy 0.217 0.217 0.253
Dy 0.783 0.783 0.747
Th 0.500 0.500 0.000

The value obtained for the theoretical density is 8.31 g/cm3. The value obtained for the formation energy is 0.19 eV/atom.

# 5
## Tb3Dy6Th (PBE)

Data for Tb3Dy6Th after structural relaxation.

Unit cell a=10.087 b=10.087 c=9.399 alpha=90.00 beta=90.00 gamma=137.24
Fractional positions:
Tb 0.038 0.962 0.500
Tb 0.125 0.376 0.326
Tb 0.376 0.125 0.826
Tb 0.624 0.875 0.326
Tb 0.875 0.624 0.826
Tb 0.962 0.038 0.000
Dy 0.061 0.435 0.953
Dy 0.188 0.310 0.703
Dy 0.211 0.789 0.153
Dy 0.310 0.188 0.203
Dy 0.435 0.061 0.453
Dy 0.463 0.537 0.998
Dy 0.537 0.463 0.498
Dy 0.565 0.939 0.953
Dy 0.690 0.812 0.703
Dy 0.789 0.211 0.653
Dy 0.812 0.690 0.203
Dy 0.939 0.565 0.453
Th 0.289 0.711 0.654
Th 0.711 0.289 0.154

The value obtained for the theoretical density is 8.61 g/cm3. The value obtained for the formation energy is 0.12 eV/atom.

# 6
## Tb2DyTh2 (PBE)

Data for Tb2DyTh2 after structural relaxation.

Unit cell a=8.621 b=8.621 c=8.621 alpha=156.47 beta=140.63 gamma=46.38
Fractional positions:
Tb 0.102 0.102 0.000
Tb 0.898 0.898 0.000
Dy 0.500 0.500 0.000
Th 0.288 0.788 0.500
Th 0.712 0.212 0.500

The value obtained for the theoretical density is 9.69 g/cm3. The value obtained for the formation energy is 0.06 eV/atom.

# 7
## TbDy4Th5 (PBE)

Data for TbDy4Th5 after structural relaxation.

Unit cell a=8.966 b=8.966 c=11.173 alpha=106.99 beta=106.99 gamma=22.15
Fractional positions:
Tb 0.000 0.000 0.000
Dy 0.197 0.197 0.089
Dy 0.407 0.407 0.192
Dy 0.593 0.593 0.808
Dy 0.803 0.803 0.911
Th 0.000 0.000 0.500
Th 0.303 0.303 0.406
Th 0.391 0.391 0.705
Th 0.609 0.609 0.295
Th 0.697 0.697 0.594

The value obtained for the theoretical density is 10.11 g/cm3. The value obtained for the formation energy is 0.13 eV/atom.

# 8
## Tb2DyTh (PBE)

Data for Tb2DyTh after structural relaxation.

Unit cell a=5.025 b=5.025 c=5.039 alpha=90.00 beta=90.00 gamma=90.00
Fractional positions:
Tb 0.000 0.500 0.000
Tb 0.500 0.000 0.000
Dy 0.000 0.000 0.500
Th 0.500 0.500 0.500

The value obtained for the theoretical density is 9.30 g/cm3. The value obtained for the formation energy is 0.04 eV/atom.

# 9
## Tb12Dy7Th (PBE)

Data for Tb12Dy7Th after structural relaxation.

Unit cell a=9.771 b=9.771 c=9.771 alpha=109.47 beta=109.47 gamma=109.47
Fractional positions:
Tb 0.000 0.246 0.754
Tb 0.000 0.754 0.246
Tb 0.246 0.000 0.754
Tb 0.246 0.246 0.493
Tb 0.246 0.493 0.246
Tb 0.246 0.754 0.000
Tb 0.493 0.246 0.246
Tb 0.507 0.754 0.754
Tb 0.754 0.000 0.246
Tb 0.754 0.246 0.000
Tb 0.754 0.507 0.754
Tb 0.754 0.754 0.507
Dy 0.000 0.000 0.500
Dy 0.000 0.500 0.000
Dy 0.000 0.500 0.500
Dy 0.500 0.000 0.000
Dy 0.500 0.000 0.500
Dy 0.500 0.500 0.000
Dy 0.500 0.500 0.500
Th 0.000 0.000 0.000

The value obtained for the theoretical density is 7.58 g/cm3. The value obtained for the formation energy is 0.73 eV/atom.

# 10
## TbDy6Th4 (PBE)

Data for TbDy6Th4 after structural relaxation.

Unit cell a=18.174 b=18.174 c=18.174 alpha=169.17 beta=161.48 gamma=21.50
Fractional positions:
Tb 0.000 0.000 0.000
Dy 0.096 0.596 0.500
Dy 0.267 0.767 0.500
Dy 0.369 0.869 0.500
Dy 0.631 0.131 0.500
Dy 0.733 0.233 0.500
Dy 0.904 0.404 0.500
Th 0.182 0.182 0.000
Th 0.456 0.456 0.000
Th 0.544 0.544 0.000
Th 0.818 0.818 0.000

The value obtained for the theoretical density is 9.56 g/cm3. The value obtained for the formation energy is 0.17 eV/atom.